First-principles (meta-GGA SCAN) data for a crystal of ZrZnH2Pd relaxed with PBEsol, as listed in Alexandria via LeMat-Bulk.

Cell: 3.6543 3.6543 4.7236 Å, 90.00 90.00 90.00°
With the nearest neighbours (Å) after each atom.
Space group P4/mmm (No. 123)
Inequivalent atoms, fractional coordinates:
Zr (0.0000, 0.0000, 0.0000) (multiplicity 1)  4 Zn 2.58
Zn (0.5000, 0.5000, 0.0000) (multiplicity 1)  2 Pd 2.36, 4 Zr 2.58
H (0.0000, 0.5000, 0.5000) (multiplicity 2)  2 Pd 1.83
Pd (0.5000, 0.5000, 0.5000) (multiplicity 1)  4 H 1.83

The calculation puts the volume at 12.62 A^3/atom. For the total moment, the calculation gives 0.0 μB/f.u. For the electronic total energy, the calculation gives -16.658 eV per atom.

First-principles (meta-GGA SCAN) data for a crystal of Zr2H2Pd relaxed with PBEsol, as listed in Alexandria via LeMat-Bulk.

Cell: 3.1546 3.1546 12.5461 Å, 90.00 90.00 90.00°
With the nearest neighbours (Å) after each atom.
Space group I4/mmm (No. 139)
Inequivalent atoms, fractional coordinates:
Zr (0.0000, 0.0000, 0.1428) (multiplicity 4)  4 H 2.07
H (0.0000, 0.5000, 0.2500) (multiplicity 4)  4 Zr 2.07, 4 H 2.23
Pd (0.0000, 0.0000, 0.5000) (multiplicity 2)  8 Zr 2.86, 4 Pd 3.15

The calculation puts the volume at 12.49 A^3/atom. For the total moment, the calculation gives 0.0 μB/f.u. For the electronic total energy, the calculation gives -20.854 eV per atom.

First-principles (meta-GGA SCAN) data for a crystal of Zr3HPd relaxed with PBEsol, as listed in Alexandria via LeMat-Bulk.

Cell: 4.3197 4.3197 4.3197 Å, 90.00 90.00 90.00°
With the nearest neighbours (Å) after each atom.
Space group Pm-3m (No. 221)
Inequivalent atoms, fractional coordinates:
Zr (0.0000, 0.0000, 0.5000) (multiplicity 3)  2 H 2.16
H (0.0000, 0.0000, 0.0000) (multiplicity 1)  6 Zr 2.16
Pd (0.5000, 0.5000, 0.5000) (multiplicity 1)  12 Zr 3.05

The calculation puts the volume at 16.12 A^3/atom. For the total moment, the calculation gives 0.0 μB/f.u. For the electronic total energy, the calculation gives -26.023 eV per atom.

First-principles (meta-GGA SCAN) data for a crystal of PrH2 relaxed with PBEsol, as listed in Alexandria via LeMat-Bulk.

Cell: 5.4731 5.4731 5.4731 Å, 90.00 90.00 90.00°
With the nearest neighbours (Å) after each atom.
Space group Fm-3m (No. 225)
Inequivalent atoms, fractional coordinates:
Pr (0.0000, 0.0000, 0.0000) (multiplicity 4)  8 H 2.37
H (0.2500, 0.2500, 0.2500) (multiplicity 8)  4 Pr 2.37

The calculation puts the volume at 13.66 A^3/atom. For the total moment, the calculation gives 0.0 μB/f.u. For the electronic total energy, the calculation gives -17.472 eV per atom.

First-principles (meta-GGA SCAN) data for a crystal of RbH2Pt2 relaxed with PBEsol, as listed in Alexandria via LeMat-Bulk.

Cell: 3.8053 3.8053 11.8131 Å, 90.00 90.00 90.00°
With the nearest neighbours (Å) after each atom.
Space group I4/mmm (No. 139)
Inequivalent atoms, fractional coordinates:
Rb (0.0000, 0.0000, 0.0000) (multiplicity 2)  2 Pt 3.08
H (0.0000, 0.5000, 0.2500) (multiplicity 4)  4 Pt 1.91
Pt (0.0000, 0.0000, 0.2610) (multiplicity 4)  4 H 1.91

The calculation puts the volume at 17.11 A^3/atom. For the total moment, the calculation gives 0.0 μB/f.u. For the electronic total energy, the calculation gives -33.763 eV per atom.

First-principles (meta-GGA SCAN) data for a crystal of RbH2Pt relaxed with PBEsol, as listed in Alexandria via LeMat-Bulk.

Cell: 6.1392 6.1392 6.1392 Å, 90.00 90.00 90.00°
With the nearest neighbours (Å) after each atom.
Space group Fm-3m (No. 225)
Inequivalent atoms, fractional coordinates:
Rb (0.0000, 0.0000, 0.0000) (multiplicity 4)  8 H 2.66
H (0.2500, 0.2500, 0.2500) (multiplicity 8)  4 Rb 2.66, 4 Pt 2.66
Pt (0.0000, 0.0000, 0.5000) (multiplicity 4)  8 H 2.66

The calculation puts the volume at 14.46 A^3/atom. For the total moment, the calculation gives 0.0 μB/f.u. For the electronic total energy, the calculation gives -23.372 eV per atom.